Entry 1:
Here is a crystal of Fe2Sb relaxed with PBEsol from Alexandria. Energies are from SCAN.

total DFT energy (no corrections): -24.20 eV per atom
raw formation energy: 0.303 eV/atom
DOS(E_F): 0.705 states/eV per atom
total magnetization: 4.934 μB per formula unit

abc: 4.0740 4.0740 2.9789
angles: 90.00 90.00 120.00
Closest atoms and distances in Å follow each position.
Fractional coordinates of all 3 atoms:
Fe  0.3333  0.6667  0.1421  3 Fe 2.50, 3 Sb 2.58
Fe  0.6667  0.3333  0.8579  3 Fe 2.50, 3 Sb 2.58
Sb  0.0000  0.0000  0.5000  6 Fe 2.58



Entry 2:
Here is a crystal of CsMo2H relaxed with PBEsol from Alexandria. Energies are from SCAN.

total DFT energy (no corrections): -26.29 eV per atom
DOS(E_F): 0.838 states/eV per atom
total magnetization: 0.000 μB per formula unit

abc: 5.8704 5.8704 5.8704
angles: 119.92 119.92 90.13
Closest atoms and distances in Å follow each position.
Fractional coordinates of all 8 atoms:
Cs  0.3750  0.6250  0.7500  12 Mo 3.44-3.45, 4 H 3.60, 4 Cs 3.60
Cs  0.6250  0.3750  0.2500  12 Mo 3.44-3.45, 4 H 3.60, 4 Cs 3.60
Mo  0.0000  0.0000  0.0000  2 H 1.80
Mo  0.0000  0.0000  0.5000  2 H 1.80
Mo  0.0000  0.5000  0.0000  2 H 1.80
Mo  0.5000  0.0000  0.5000  2 H 1.80
H  0.1250  0.8750  0.2500  4 Mo 1.80
H  0.8750  0.1250  0.7500  4 Mo 1.80



Question: Look up the total magnetization of the second one.
Answer: 0.000 μB per formula unit